No. 1
First-principles (PBE) data for an optimized crystal structure of TlGaPd4, as listed in the Alexandria database.

Lattice parameters (Å, degrees): 7.312 3.144 17.400 90.00 90.00 90.00
Element x y z (fractional)
1 Tl 0.220 0.250 0.187
2 Tl 0.280 0.750 0.687
3 Tl 0.720 0.250 0.313
4 Tl 0.780 0.750 0.813
5 Ga 0.250 0.250 0.950
6 Ga 0.250 0.750 0.450
7 Ga 0.750 0.250 0.550
8 Ga 0.750 0.750 0.050
9 Pd 0.025 0.750 0.567
10 Pd 0.040 0.750 0.298
11 Pd 0.112 0.750 0.054
12 Pd 0.150 0.750 0.844
13 Pd 0.350 0.250 0.344
14 Pd 0.388 0.250 0.554
15 Pd 0.460 0.250 0.798
16 Pd 0.475 0.250 0.067
17 Pd 0.525 0.750 0.933
18 Pd 0.540 0.750 0.202
19 Pd 0.612 0.750 0.446
20 Pd 0.650 0.750 0.656
21 Pd 0.850 0.250 0.156
22 Pd 0.888 0.250 0.946
23 Pd 0.960 0.250 0.702
24 Pd 0.975 0.250 0.433

Properties
formation energy	-2.2	eV per formula unit
SG	Pnma (62)
D(E_F)	0.385	states/eV per atom
theoretical density	11.62	g/cm3

***

No. 2
First-principles (PBE) data for an optimized crystal structure of Ac4SbPb2I, as listed in the Alexandria database.

Lattice parameters (Å, degrees): 8.348 4.866 8.442 90.00 109.46 90.00
Element x y z (fractional)
1 Ac 0.231 0.000 0.232
2 Ac 0.244 0.500 0.758
3 Ac 0.756 0.500 0.242
4 Ac 0.769 0.000 0.768
5 Sb 0.500 0.000 0.000
6 Pb 0.000 0.000 0.500
7 Pb 0.000 0.500 0.000
8 I 0.500 0.500 0.500

Properties
raw formation energy	-851	meV/atom
SG	P2/m (10)
D(E_F)	0.223	states/eV per atom
theoretical density	8.07	g/cm3

***

No. 3
First-principles (PBE) data for an optimized crystal structure of BaThTl2Se4, as listed in the Alexandria database.

Lattice parameters (Å, degrees): 7.940 4.492 8.102 90.00 108.62 90.00
Element x y z (fractional)
1 Ba 0.000 0.000 0.000
2 Th 0.500 0.500 0.000
3 Tl 0.000 0.500 0.500
4 Tl 0.500 0.000 0.500
5 Se 0.275 0.500 0.217
6 Se 0.288 0.000 0.789
7 Se 0.712 0.000 0.211
8 Se 0.725 0.500 0.783

Properties
raw formation energy	-1324	meV/atom
SG	P2/m (10)
D(E_F)	0.000	states/eV per atom
theoretical density	6.63	g/cm3

***

No. 4
First-principles (PBE) data for an optimized crystal structure of SrIr2Se, as listed in the Alexandria database.

Lattice parameters (Å, degrees): 5.524 5.524 5.524 140.09 119.18 75.25
Element x y z (fractional)
1 Sr 0.000 0.000 0.000
2 Ir 0.338 0.838 0.500
3 Ir 0.515 0.515 0.000
4 Se 0.702 0.202 0.500

Properties
raw formation energy	19	meV/atom
SG	Imm2 (44)
D(E_F)	0.987	states/eV per atom
theoretical density	9.92	g/cm3

***

No. 5
First-principles (PBE) data for an optimized crystal structure of Tb2TmScSe5, as listed in the Alexandria database.

Lattice parameters (Å, degrees): 5.070 5.070 10.256 90.00 90.00 90.00
Element x y z (fractional)
1 Tb 0.000 0.000 0.206
2 Tb 0.000 0.000 0.794
3 Tm 0.500 0.500 0.000
4 Sc 0.500 0.500 0.500
5 Se 0.000 0.000 0.500
6 Se 0.000 0.500 0.000
7 Se 0.500 0.000 0.000
8 Se 0.500 0.500 0.261
9 Se 0.500 0.500 0.739

Properties
raw formation energy	-1114	meV/atom
SG	P4/mmm (123)
D(E_F)	0.781	states/eV per atom
theoretical density	5.84	g/cm3

***

No. 6
First-principles (PBE) data for an optimized crystal structure of Pm3TcO7, as listed in the Alexandria database.

Lattice parameters (Å, degrees): 6.640 6.640 7.603 90.00 90.00 108.50
Element x y z (fractional)
1 Pm 0.038 0.499 0.259
2 Pm 0.040 0.040 0.000
3 Pm 0.499 0.038 0.741
4 Pm 0.501 0.962 0.241
5 Pm 0.960 0.960 0.500
6 Pm 0.962 0.501 0.759
7 Tc 0.499 0.499 0.500
8 Tc 0.501 0.501 0.000
9 O 0.130 0.870 0.750
10 O 0.137 0.863 0.250
11 O 0.179 0.421 0.977
12 O 0.203 0.455 0.540
13 O 0.421 0.179 0.023
14 O 0.435 0.565 0.250
15 O 0.455 0.203 0.460
16 O 0.545 0.797 0.960
17 O 0.565 0.435 0.750
18 O 0.579 0.821 0.523
19 O 0.797 0.545 0.040
20 O 0.821 0.579 0.477
21 O 0.863 0.137 0.750
22 O 0.870 0.130 0.250

Properties
raw formation energy	-2801	meV/atom
SG	C222_1 (20)
D(E_F)	0.293	states/eV per atom
theoretical density	6.74	g/cm3

***

No. 7
First-principles (PBE) data for an optimized crystal structure of Ti2TeAs2, as listed in the Alexandria database.

Lattice parameters (Å, degrees): 7.498 7.498 3.308 90.00 90.00 90.00
Element x y z (fractional)
1 Ti 0.148 0.352 0.000
2 Ti 0.352 0.852 0.000
3 Ti 0.648 0.148 0.000
4 Ti 0.852 0.648 0.000
5 Te 0.000 0.000 0.000
6 Te 0.500 0.500 0.000
7 As 0.136 0.636 0.500
8 As 0.364 0.136 0.500
9 As 0.636 0.864 0.500
10 As 0.864 0.364 0.500

Properties
raw formation energy	-610	meV/atom
SG	P4/mbm (127)
D(E_F)	0.546	states/eV per atom
theoretical density	6.66	g/cm3

***

No. 8
First-principles (PBE) data for an optimized crystal structure of SrLiHgS2, as listed in the Alexandria database.

Lattice parameters (Å, degrees): 7.763 4.499 7.970 90.00 114.97 90.00
Element x y z (fractional)
1 Sr 0.000 0.185 0.250
2 Sr 0.000 0.815 0.750
3 Li 0.500 0.494 0.250
4 Li 0.500 0.506 0.750
5 Hg 0.500 0.000 0.000
6 Hg 0.500 0.000 0.500
7 S 0.208 0.324 0.015
8 S 0.208 0.676 0.515
9 S 0.792 0.324 0.485
10 S 0.792 0.676 0.985

Properties
raw formation energy	-1017	meV/atom
SG	P2/c (13)
D(E_F)	0.248	states/eV per atom
theoretical density	4.73	g/cm3

***

No. 9
First-principles (PBE) data for an optimized crystal structure of Ni2SeBr, as listed in the Alexandria database.

Lattice parameters (Å, degrees): 3.606 6.898 6.785 90.00 90.00 90.00
Element x y z (fractional)
1 Ni 0.250 0.073 0.116
2 Ni 0.250 0.427 0.116
3 Ni 0.750 0.573 0.884
4 Ni 0.750 0.927 0.884
5 Se 0.250 0.750 0.048
6 Se 0.750 0.250 0.952
7 Br 0.250 0.250 0.414
8 Br 0.750 0.750 0.586

Properties
raw formation energy	-140	meV/atom
SG	Pmmn (59)
D(E_F)	0.688	states/eV per atom
theoretical density	5.44	g/cm3

***

No. 10
First-principles (PBE) data for an optimized crystal structure of KRb2Ba2Sr4, as listed in the Alexandria database.

Lattice parameters (Å, degrees): 4.422 4.422 34.449 90.00 90.00 120.00
Element x y z (fractional)
1 K 0.000 0.000 0.000
2 Rb 0.667 0.333 0.121
3 Rb 0.667 0.333 0.879
4 Ba 0.000 0.000 0.650
5 Ba 0.667 0.333 0.340
6 Sr 0.000 0.000 0.236
7 Sr 0.000 0.000 0.445
8 Sr 0.667 0.333 0.545
9 Sr 0.667 0.333 0.753

Properties
formation energy	0.5	eV per formula unit
SG	P3m1 (156)
D(E_F)	1.153	states/eV per atom
theoretical density	2.38	g/cm3

***

No. 11
First-principles (PBE) data for an optimized crystal structure of Pu3BeB2Rh9, as listed in the Alexandria database.

Lattice parameters (Å, degrees): 5.991 5.991 7.382 90.00 90.00 120.00
Element x y z (fractional)
1 Pu 0.000 0.000 0.000
2 Pu 0.333 0.667 0.659
3 Pu 0.667 0.333 0.341
4 Be 0.000 0.000 0.500
5 B 0.333 0.667 0.163
6 B 0.667 0.333 0.837
7 Rh 0.000 0.500 0.000
8 Rh 0.170 0.339 0.326
9 Rh 0.170 0.830 0.326
10 Rh 0.339 0.170 0.674
11 Rh 0.500 0.000 0.000
12 Rh 0.500 0.500 0.000
13 Rh 0.661 0.830 0.326
14 Rh 0.830 0.170 0.674
15 Rh 0.830 0.661 0.674

Properties
formation energy	-7.3	eV per formula unit
SG	P-3m1 (164)
D(E_F)	3.355	states/eV per atom
theoretical density	12.22	g/cm3

***

No. 12
First-principles (PBE) data for an optimized crystal structure of PrTl3Te3, as listed in the Alexandria database.

Lattice parameters (Å, degrees): 9.592 9.592 9.659 120.17 120.17 54.96
Element x y z (fractional)
1 Pr 0.210 0.210 0.460
2 Pr 0.790 0.790 0.540
3 Tl 0.249 0.249 0.999
4 Tl 0.256 0.744 0.500
5 Tl 0.257 0.743 0.000
6 Tl 0.743 0.257 0.000
7 Tl 0.744 0.256 0.500
8 Tl 0.751 0.751 0.001
9 Te 0.000 0.500 0.275
10 Te 0.000 0.500 0.725
11 Te 0.009 0.009 0.759
12 Te 0.500 0.000 0.275
13 Te 0.500 0.000 0.725
14 Te 0.991 0.991 0.241

Properties
raw formation energy	-675	meV/atom
SG	C2/m (12)
theoretical density	6.30	g/cm3

***

No. 13
First-principles (PBE) data for an optimized crystal structure of HoTaIr2, as listed in the Alexandria database.

Lattice parameters (Å, degrees): 4.867 4.867 3.021 90.00 90.00 90.00
Element x y z (fractional)
1 Ho 0.000 0.000 0.000
2 Ta 0.500 0.500 0.000
3 Ir 0.000 0.500 0.500
4 Ir 0.500 0.000 0.500

Properties
formation energy	-2.2	eV per formula unit
SG	P4/mmm (123)
D(E_F)	1.017	states/eV per atom
theoretical density	16.95	g/cm3

***

No. 14
First-principles (PBE) data for an optimized crystal structure of YHg4Pd15, as listed in the Alexandria database.

Lattice parameters (Å, degrees): 4.067 4.067 20.390 90.00 90.00 90.00
Element x y z (fractional)
1 Y 0.000 0.000 0.000
2 Hg 0.000 0.000 0.204
3 Hg 0.000 0.000 0.401
4 Hg 0.000 0.000 0.599
5 Hg 0.000 0.000 0.796
6 Pd 0.000 0.500 0.103
7 Pd 0.000 0.500 0.303
8 Pd 0.000 0.500 0.500
9 Pd 0.000 0.500 0.697
10 Pd 0.000 0.500 0.897
11 Pd 0.500 0.000 0.103
12 Pd 0.500 0.000 0.303
13 Pd 0.500 0.000 0.500
14 Pd 0.500 0.000 0.697
15 Pd 0.500 0.000 0.897
16 Pd 0.500 0.500 0.000
17 Pd 0.500 0.500 0.202
18 Pd 0.500 0.500 0.402
19 Pd 0.500 0.500 0.598
20 Pd 0.500 0.500 0.798

Properties
formation energy	-5.0	eV per formula unit
SG	P4/mmm (123)
D(E_F)	1.283	states/eV per atom
theoretical density	12.25	g/cm3

***

No. 15
First-principles (PBE) data for an optimized crystal structure of AlNi2Au2, as listed in the Alexandria database.

Lattice parameters (Å, degrees): 6.756 6.756 3.409 90.00 90.00 90.00
Element x y z (fractional)
1 Al 0.000 0.000 0.000
2 Al 0.500 0.500 0.000
3 Ni 0.150 0.350 0.500
4 Ni 0.350 0.850 0.500
5 Ni 0.650 0.150 0.500
6 Ni 0.850 0.650 0.500
7 Au 0.148 0.648 0.000
8 Au 0.352 0.148 0.000
9 Au 0.648 0.852 0.000
10 Au 0.852 0.352 0.000

Properties
formation energy	0.2	eV per formula unit
SG	P4/mbm (127)
D(E_F)	0.661	states/eV per atom
theoretical density	11.49	g/cm3

***

No. 16
First-principles (PBE) data for an optimized crystal structure of Be2CrHg, as listed in the Alexandria database.

Lattice parameters (Å, degrees): 2.650 2.650 7.562 90.00 90.00 98.23
Element x y z (fractional)
1 Be 0.000 0.000 0.208
2 Be 0.000 0.000 0.792
3 Cr 0.500 0.500 0.000
4 Hg 0.500 0.500 0.500

Properties
formation energy	1.9	eV per formula unit
SG	Cmmm (65)
D(E_F)	0.388	states/eV per atom
theoretical density	8.55	g/cm3

***

No. 17
First-principles (PBE) data for an optimized crystal structure of K2Na2Ag15, as listed in the Alexandria database.

Lattice parameters (Å, degrees): 7.457 7.457 7.457 83.93 83.93 83.93
Element x y z (fractional)
1 K 0.152 0.152 0.152
2 K 0.848 0.848 0.848
3 Na 0.399 0.399 0.399
4 Na 0.601 0.601 0.601
5 Ag 0.000 0.500 0.500
6 Ag 0.157 0.157 0.658
7 Ag 0.157 0.658 0.157
8 Ag 0.193 0.500 0.807
9 Ag 0.193 0.807 0.500
10 Ag 0.342 0.843 0.843
11 Ag 0.500 0.000 0.500
12 Ag 0.500 0.193 0.807
13 Ag 0.500 0.500 0.000
14 Ag 0.500 0.807 0.193
15 Ag 0.658 0.157 0.157
16 Ag 0.807 0.193 0.500
17 Ag 0.807 0.500 0.193
18 Ag 0.843 0.342 0.843
19 Ag 0.843 0.843 0.342

Properties
formation energy	-0.3	eV per formula unit
SG	R-3m (166)
D(E_F)	0.332	states/eV per atom
theoretical density	7.09	g/cm3

***

No. 18
First-principles (PBE) data for an optimized crystal structure of TeAsF3, as listed in the Alexandria database.

Lattice parameters (Å, degrees): 4.580 4.580 4.580 90.00 90.00 90.00
Element x y z (fractional)
1 Te 0.000 0.000 0.000
2 As 0.500 0.500 0.500
3 F 0.000 0.000 0.500
4 F 0.000 0.500 0.000
5 F 0.500 0.000 0.000

Properties
raw formation energy	-670	meV/atom
SG	Pm-3m (221)
D(E_F)	0.242	states/eV per atom
theoretical density	4.48	g/cm3

***

No. 19
First-principles (PBE) data for an optimized crystal structure of Mn2NiS2, as listed in the Alexandria database.

Lattice parameters (Å, degrees): 5.042 5.042 5.042 135.36 135.36 64.98
Element x y z (fractional)
1 Mn 0.250 0.750 0.500
2 Mn 0.750 0.250 0.500
3 Ni 0.000 0.000 0.000
4 S 0.368 0.368 0.000
5 S 0.632 0.632 0.000

Properties
raw formation energy	8	meV/atom
SG	I4/mmm (139)
D(E_F)	1.192	states/eV per atom
theoretical density	6.19	g/cm3

***

No. 20
First-principles (PBE) data for an optimized crystal structure of Ni2HgSe, as listed in the Alexandria database.

Lattice parameters (Å, degrees): 3.078 3.078 6.434 90.00 90.00 90.00
Element x y z (fractional)
1 Ni 0.000 0.000 0.206
2 Ni 0.000 0.000 0.794
3 Hg 0.500 0.500 0.500
4 Se 0.500 0.500 0.000

Properties
raw formation energy	143	meV/atom
SG	P4/mmm (123)
D(E_F)	0.667	states/eV per atom
theoretical density	10.81	g/cm3

***

No. 21
First-principles (PBE) data for an optimized crystal structure of La2RePt, as listed in the Alexandria database.

Lattice parameters (Å, degrees): 5.117 5.117 5.117 60.00 60.00 60.00
Element x y z (fractional)
1 La 0.250 0.250 0.250
2 La 0.750 0.750 0.750
3 Re 0.000 0.000 0.000
4 Pt 0.500 0.500 0.500

Properties
formation energy	-0.5	eV per formula unit
SG	Fm-3m (225)
D(E_F)	1.137	states/eV per atom
theoretical density	11.55	g/cm3

***

No. 22
First-principles (PBE) data for an optimized crystal structure of Nd3ErSc3, as listed in the Alexandria database.

Lattice parameters (Å, degrees): 8.585 8.585 8.585 58.66 58.66 58.66
Element x y z (fractional)
1 Nd 0.065 0.573 0.214
2 Nd 0.214 0.065 0.573
3 Nd 0.427 0.786 0.935
4 Nd 0.573 0.214 0.065
5 Nd 0.786 0.935 0.427
6 Nd 0.935 0.427 0.786
7 Er 0.156 0.156 0.156
8 Er 0.844 0.844 0.844
9 Sc 0.224 0.670 0.439
10 Sc 0.330 0.561 0.776
11 Sc 0.439 0.224 0.670
12 Sc 0.561 0.776 0.330
13 Sc 0.670 0.439 0.224
14 Sc 0.776 0.330 0.561

Properties
formation energy	1.3	eV per formula unit
SG	R-3 (148)
D(E_F)	1.537	states/eV per atom
theoretical density	5.63	g/cm3